UGeS3 | Alexandria | GGA-PBE | optimized geometry; uncorrected formation energy = -0.6890 eV/atom; size of the total moment = 2.0 μB per formula unit; symmetry = C2/m
1.0
-3.4733 0.4311 -2.2128
3.5757 -1.8094 -5.9649
-0.2293 -7.7755 2.7194
S Ge U
6 2 2
Cartesian
2.7083 -1.7464 -4.5912 S
0.8978 -3.3332 -2.0586 S
0.6771 -4.1914 -5.7535 S
-0.8040 -4.9625 0.2953 S
-2.8352 -7.4075 -0.8671 S
-1.0248 -5.8207 -3.3997 S
-0.0766 -6.8529 -1.2147 Ge
-0.0503 -2.3010 -4.2435 Ge
0.1109 -7.0546 -5.4225 U
-0.2378 -2.0993 -0.0357 U